[1]
Computed, not measured: a relaxed Ca3TaPb crystal at the PBE-GGA level of DFT.

Results
Energy above the lowest structure with this stoichiometry = 0 meV per atom
Space group = No. 221

a = 5.6258 Å, b = 5.6258 Å, c = 5.6258 Å
α = 90.00°, β = 90.00°, γ = 90.00°
Last column: nearest neighbours and their distance in Å.
Element x y z (fractional)
Ca 0.0000 0.0000 0.5000  2 Ta 2.81
Ca 0.0000 0.5000 0.0000  2 Ta 2.81
Ca 0.5000 0.0000 0.0000  2 Ta 2.81
Ta 0.0000 0.0000 0.0000  6 Ca 2.81
Pb 0.5000 0.5000 0.5000  12 Ca 3.98


[2]
Computed, not measured: a relaxed CaTb2Pb crystal at the PBE-GGA level of DFT.

Results
Energy above the lowest structure with this stoichiometry = 0 meV per atom
Space group = No. 123

a = 4.9304 Å, b = 4.9304 Å, c = 4.9249 Å
α = 90.00°, β = 90.00°, γ = 90.00°
Last column: nearest neighbours and their distance in Å.
Element x y z (fractional)
Ca 0.0000 0.0000 0.0000  8 Tb 3.48, 4 Pb 3.49
Tb 0.0000 0.5000 0.5000  4 Pb 3.48, 4 Ca 3.48, 4 Tb 3.49
Tb 0.5000 0.0000 0.5000  4 Pb 3.48, 4 Ca 3.48, 4 Tb 3.49
Pb 0.5000 0.5000 0.0000  8 Tb 3.48, 4 Ca 3.49


[3]
Computed, not measured: a relaxed CaTbPb crystal at the PBE-GGA level of DFT.

Results
Raw total energy = -10.0 eV/f.u.
Space group = No. 107

a = 9.0898 Å, b = 9.0898 Å, c = 9.0898 Å
α = 157.47°, β = 157.47°, γ = 32.07°
Last column: nearest neighbours and their distance in Å.
Element x y z (fractional)
Ca 0.0000 0.0000 0.0000  1 Pb 3.12, 1 Tb 3.49
Tb 0.1999 0.1999 0.0000  4 Pb 3.28, 1 Ca 3.49, 4 Tb 3.55
Pb 0.8212 0.8212 0.0000  1 Ca 3.12, 4 Tb 3.28


> What is the formula in the third record?

CaTbPb